Version one
Density functional theory data (PBE-GGA) for TbYLu after structural relaxation.

Cell: 5.5705 5.5705 3.4789 Å, 90.00 90.00 120.00°
Space group P-6m2 (No. 187)
Asymmetric unit:
1 Tb 0.0000 0.0000 0.0000 x1
2 Y 0.6667 0.3333 0.5000 x1
3 Lu 0.3333 0.6667 0.0000 x1

Summary:
For the calculated density, the calculation gives 7.5 g/cm³. The calculation puts the volume at 93 Å³ per cell.

Version two
Density functional theory data (PBE-GGA) for TbYLu after structural relaxation.

Cell: 3.526 3.526 15.038 Å, 90.00 90.00 90.00°
Space group I4mm (No. 107)
Asymmetric unit:
1 Tb 0.000 0.000 0.000 x2
2 Y 0.000 0.000 0.670 x2
3 Lu 0.000 0.000 0.336 x2

Summary:
For the calculated density, the calculation gives 7.5 g/cm³. The calculation puts the volume at 187 Å³ per cell.

version two takes first place; second place is 48 meV/atom up.

Version one
Density functional theory data (PBE-GGA) for Tb2LuZn after structural relaxation.

Cell: 3.561 3.561 8.506 Å, 90.00 90.00 90.00°
Space group P4/mmm (No. 123)
Asymmetric unit:
1 Tb 0.000 0.000 0.210 x2
2 Lu 0.500 0.500 0.500 x1
3 Zn 0.500 0.500 0.000 x1

Summary:
For the calculated density, the calculation gives 8.6 g/cm³. The calculation puts the volume at 108 Å³ per cell.

Version two
Density functional theory data (PBE-GGA) for Tb2LuZn after structural relaxation.

Cell: 3.4290 3.4290 35.1931 Å, 90.00 90.00 120.00°
Space group R-3m (No. 166, hexagonal axes)
Asymmetric unit:
1 Tb 0.0000 0.0000 0.0874 x6
2 Lu 0.0000 0.0000 0.5000 x3
3 Zn 0.0000 0.0000 0.0000 x3

Summary:
For the calculated density, the calculation gives 7.8 g/cm³. The calculation puts the volume at 358 Å³ per cell.

Version three
Density functional theory data (PBE-GGA) for Tb2LuZn after structural relaxation.

Cell: 7.499 7.499 7.499 Å, 90.00 90.00 90.00°
Space group Fm-3m (No. 225)
Asymmetric unit:
1 Tb 0.250 0.250 0.250 x8
2 Lu 0.000 0.000 0.000 x4
3 Zn 0.000 0.000 0.500 x4

Summary:
For the calculated density, the calculation gives 8.8 g/cm³. The calculation puts the volume at 422 Å³ per cell.

version one takes first place; second place is 167 meV/atom up.

Version one
Density functional theory data (PBE-GGA) for LuThTc2 after structural relaxation.

Cell: 6.882 6.882 6.882 Å, 90.00 90.00 90.00°
Space group Fm-3m (No. 225)
Asymmetric unit:
1 Lu 0.000 0.000 0.000 x4
2 Th 0.000 0.000 0.500 x4
3 Tc 0.250 0.250 0.250 x8

Summary:
For the calculated density, the calculation gives 12.3 g/cm³. The calculation puts the volume at 326 Å³ per cell.

Version two
Density functional theory data (PBE-GGA) for LuThTc2 after structural relaxation.

Cell: 3.468 3.468 6.851 Å, 90.00 90.00 90.00°
Space group P4/mmm (No. 123)
Asymmetric unit:
1 Lu 0.000 0.000 0.000 x1
2 Th 0.000 0.000 0.500 x1
3 Tc 0.500 0.500 0.262 x2

Summary:
For the calculated density, the calculation gives 12.2 g/cm³. The calculation puts the volume at 82 Å³ per cell.

version one takes first place; second place is 54 meV/atom up.

Version one
Density functional theory data (PBE-GGA) for Tm2LuTc after structural relaxation.

Cell: 3.4029 3.4029 30.3109 Å, 90.00 90.00 120.00°
Space group R-3m (No. 166, hexagonal axes)
Asymmetric unit:
1 Tm 0.0000 0.0000 0.2331 x6
2 Lu 0.0000 0.0000 0.0000 x3
3 Tc 0.0000 0.0000 0.5000 x3

Summary:
For the calculated density, the calculation gives 10.0 g/cm³. The calculation puts the volume at 304 Å³ per cell.

Version two
Density functional theory data (PBE-GGA) for Tm2LuTc after structural relaxation.

Cell: 3.434 3.434 8.512 Å, 90.00 90.00 90.00°
Space group P4/mmm (No. 123)
Asymmetric unit:
1 Tm 0.000 0.000 0.189 x2
2 Lu 0.500 0.500 0.500 x1
3 Tc 0.500 0.500 0.000 x1

Summary:
For the calculated density, the calculation gives 10.1 g/cm³. The calculation puts the volume at 100 Å³ per cell.

version two takes first place; second place is 162 meV/atom up.

Version one
Density functional theory data (PBE-GGA) for LuVTc2 after structural relaxation.

Cell: 4.514 4.514 3.179 Å, 90.00 90.00 90.00°
Space group P4/mmm (No. 123)
Asymmetric unit:
1 Lu 0.000 0.000 0.000 x1
2 V 0.500 0.500 0.000 x1
3 Tc 0.000 0.500 0.500 x2

Summary:
For the calculated density, the calculation gives 10.8 g/cm³. The calculation puts the volume at 65 Å³ per cell.

Version two
Density functional theory data (PBE-GGA) for LuVTc2 after structural relaxation.

Cell: 6.359 6.359 6.359 Å, 90.00 90.00 90.00°
Space group Fm-3m (No. 225)
Asymmetric unit:
1 Lu 0.000 0.000 0.000 x4
2 V 0.000 0.000 0.500 x4
3 Tc 0.250 0.250 0.250 x8

Summary:
For the calculated density, the calculation gives 10.9 g/cm³. The calculation puts the volume at 257 Å³ per cell.

version two takes first place; second place is 53 meV/atom up.

Version one
Density functional theory data (PBE-GGA) for Y2LuTc after structural relaxation.

Cell: 3.480 3.480 8.654 Å, 90.00 90.00 90.00°
Space group P4/mmm (No. 123)
Asymmetric unit:
1 Y 0.000 0.000 0.190 x2
2 Lu 0.500 0.500 0.500 x1
3 Tc 0.500 0.500 0.000 x1

Summary:
For the calculated density, the calculation gives 7.1 g/cm³. The calculation puts the volume at 105 Å³ per cell.

Version two
Density functional theory data (PBE-GGA) for Y2LuTc after structural relaxation.

Cell: 3.4215 3.4215 32.2726 Å, 90.00 90.00 120.00°
Space group R-3m (No. 166, hexagonal axes)
Asymmetric unit:
1 Y 0.0000 0.0000 0.1035 x6
2 Lu 0.0000 0.0000 0.0000 x3
3 Tc 0.0000 0.0000 0.5000 x3

Summary:
For the calculated density, the calculation gives 6.9 g/cm³. The calculation puts the volume at 327 Å³ per cell.

version one takes first place; second place is 252 meV/atom up.

Version one
Density functional theory data (PBE-GGA) for Lu2ZnTc after structural relaxation.

Cell: 3.431 3.431 6.909 Å, 90.00 90.00 90.00°
Space group P4/mmm (No. 123)
Asymmetric unit:
1 Lu 0.000 0.000 0.231 x2
2 Zn 0.500 0.500 0.500 x1
3 Tc 0.500 0.500 0.000 x1

Summary:
For the calculated density, the calculation gives 10.5 g/cm³. The calculation puts the volume at 81 Å³ per cell.

Version two
Density functional theory data (PBE-GGA) for Lu2ZnTc after structural relaxation.

Cell: 6.828 6.828 6.828 Å, 90.00 90.00 90.00°
Space group Fm-3m (No. 225)
Asymmetric unit:
1 Lu 0.250 0.250 0.250 x8
2 Zn 0.000 0.000 0.000 x4
3 Tc 0.000 0.000 0.500 x4

Summary:
For the calculated density, the calculation gives 10.7 g/cm³. The calculation puts the volume at 318 Å³ per cell.

version one takes first place; second place is 37 meV/atom up.

Version one
Density functional theory data (PBE-GGA) for LuThTe2 after structural relaxation.

Cell: 7.582 7.582 7.582 Å, 90.00 90.00 90.00°
Space group Fm-3m (No. 225)
Asymmetric unit:
1 Lu 0.000 0.000 0.000 x4
2 Th 0.000 0.000 0.500 x4
3 Te 0.250 0.250 0.250 x8

Summary:
For the calculated density, the calculation gives 10.1 g/cm³. The calculation puts the volume at 436 Å³ per cell.

Version two
Density functional theory data (PBE-GGA) for LuThTe2 after structural relaxation.

Cell: 5.327 5.327 3.832 Å, 90.00 90.00 90.00°
Space group P4/mmm (No. 123)
Asymmetric unit:
1 Lu 0.000 0.000 0.000 x1
2 Th 0.500 0.500 0.000 x1
3 Te 0.000 0.500 0.500 x2

Summary:
For the calculated density, the calculation gives 10.1 g/cm³. The calculation puts the volume at 109 Å³ per cell.

version two takes first place; second place is 40 meV/atom up.

Version one
Density functional theory data (PBE-GGA) for TmLuTe after structural relaxation.

Cell: 5.1053 5.1053 3.8560 Å, 90.00 90.00 120.00°
Space group P3m1 (No. 156)
Asymmetric unit:
1 Tm 0.0000 0.0000 0.0000 x1
2 Lu 0.6667 0.3333 0.4999 x1
3 Te 0.3333 0.6667 0.7376 x1

Summary:
For the calculated density, the calculation gives 9.0 g/cm³. The calculation puts the volume at 87 Å³ per cell.

Version two
Density functional theory data (PBE-GGA) for TmLuTe after structural relaxation.

Cell: 3.797 3.797 11.377 Å, 90.00 90.00 90.00°
Space group I4mm (No. 107)
Asymmetric unit:
1 Tm 0.000 0.000 0.000 x2
2 Lu 0.000 0.000 0.316 x2
3 Te 0.000 0.000 0.660 x2

Summary:
For the calculated density, the calculation gives 9.5 g/cm³. The calculation puts the volume at 164 Å³ per cell.

version two takes first place; second place is 314 meV/atom up.

Version one
Density functional theory data (PBE-GGA) for Tm2LuTe after structural relaxation.

Cell: 3.7171 3.7171 32.4343 Å, 90.00 90.00 120.00°
Space group R-3m (No. 166, hexagonal axes)
Asymmetric unit:
1 Tm 0.0000 0.0000 0.1020 x6
2 Lu 0.0000 0.0000 0.0000 x3
3 Te 0.0000 0.0000 0.5000 x3

Summary:
For the calculated density, the calculation gives 8.2 g/cm³. The calculation puts the volume at 388 Å³ per cell.

Version two
Density functional theory data (PBE-GGA) for Tm2LuTe after structural relaxation.

Cell: 3.852 3.852 7.493 Å, 90.00 90.00 90.00°
Space group P4/mmm (No. 123)
Asymmetric unit:
1 Tm 0.000 0.000 0.233 x2
2 Lu 0.500 0.500 0.500 x1
3 Te 0.500 0.500 0.000 x1

Summary:
For the calculated density, the calculation gives 9.6 g/cm³. The calculation puts the volume at 111 Å³ per cell.

version two takes first place; second place is 386 meV/atom up.

Version one
Density functional theory data (PBE-GGA) for TmLuTe2 after structural relaxation.

Cell: 5.283 5.283 3.735 Å, 90.00 90.00 90.00°
Space group P4/mmm (No. 123)
Asymmetric unit:
1 Tm 0.000 0.000 0.000 x1
2 Lu 0.500 0.500 0.000 x1
3 Te 0.000 0.500 0.500 x2

Summary:
For the calculated density, the calculation gives 9.5 g/cm³. The calculation puts the volume at 104 Å³ per cell.

Version two
Density functional theory data (PBE-GGA) for TmLuTe2 after structural relaxation.

Cell: 4.2829 4.2829 21.0288 Å, 90.00 90.00 120.00°
Space group R-3m (No. 166, hexagonal axes)
Asymmetric unit:
1 Tm 0.0000 0.0000 0.0000 x3
2 Lu 0.0000 0.0000 0.5000 x3
3 Te 0.0000 0.0000 0.2491 x6

Summary:
For the calculated density, the calculation gives 8.9 g/cm³. The calculation puts the volume at 334 Å³ per cell.

version two takes first place; second place is 101 meV/atom up.

Version one
Density functional theory data (PBE-GGA) for LuUTe2 after structural relaxation.

Cell: 3.724 3.724 7.534 Å, 90.00 90.00 90.00°
Space group P4/mmm (No. 123)
Asymmetric unit:
1 Lu 0.000 0.000 0.000 x1
2 U 0.000 0.000 0.500 x1
3 Te 0.500 0.500 0.247 x2

Summary:
For the calculated density, the calculation gives 10.6 g/cm³. The calculation puts the volume at 104 Å³ per cell.

Version two
Density functional theory data (PBE-GGA) for LuUTe2 after structural relaxation.

Cell: 4.1533 4.1533 22.7305 Å, 90.00 90.00 120.00°
Space group R-3m (No. 166, hexagonal axes)
Asymmetric unit:
1 Lu 0.0000 0.0000 0.0000 x3
2 U 0.0000 0.0000 0.5000 x3
3 Te 0.0000 0.0000 0.2540 x6

Summary:
For the calculated density, the calculation gives 9.8 g/cm³. The calculation puts the volume at 340 Å³ per cell.

version two takes first place; second place is 76 meV/atom up.

Version one
Density functional theory data (PBE-GGA) for YLu2Te after structural relaxation.

Cell: 3.810 3.810 7.824 Å, 90.00 90.00 90.00°
Space group P4/mmm (No. 123)
Asymmetric unit:
1 Y 0.000 0.000 0.000 x1
2 Lu 0.500 0.500 0.274 x2
3 Te 0.000 0.000 0.500 x1

Summary:
For the calculated density, the calculation gives 8.3 g/cm³. The calculation puts the volume at 114 Å³ per cell.

Version two
Density functional theory data (PBE-GGA) for YLu2Te after structural relaxation.

Cell: 3.7220 3.7220 32.4469 Å, 90.00 90.00 120.00°
Space group R-3m (No. 166, hexagonal axes)
Asymmetric unit:
1 Y 0.0000 0.0000 0.0000 x3
2 Lu 0.0000 0.0000 0.1024 x6
3 Te 0.0000 0.0000 0.5000 x3

Summary:
For the calculated density, the calculation gives 7.2 g/cm³. The calculation puts the volume at 389 Å³ per cell.

version one takes first place; second place is 367 meV/atom up.

Version one
Density functional theory data (PBE-GGA) for Lu2Th after structural relaxation.

Cell: 9.107 9.107 9.107 Å, 90.00 90.00 90.00°
Space group Fd-3m (No. 227, origin choice 2)
Asymmetric unit:
1 Lu 0.000 0.000 0.000 x16
2 Th 0.125 0.125 0.625 x8

Summary:
For the calculated density, the calculation gives 10.2 g/cm³. The calculation puts the volume at 755 Å³ per cell.

Version two
Density functional theory data (PBE-GGA) for Lu2Th after structural relaxation.

Cell: 3.255 3.255 18.240 Å, 90.00 90.00 90.00°
Space group I4/mmm (No. 139)
Asymmetric unit:
1 Lu 0.000 0.000 0.182 x4
2 Th 0.000 0.000 0.000 x2

Summary:
For the calculated density, the calculation gives 10.0 g/cm³. The calculation puts the volume at 193 Å³ per cell.

version one takes first place; second place is 217 meV/atom up.

Version one
Density functional theory data (PBE-GGA) for Lu2ThTl after structural relaxation.

Cell: 7.668 7.668 7.668 Å, 90.00 90.00 90.00°
Space group Fm-3m (No. 225)
Asymmetric unit:
1 Lu 0.250 0.250 0.250 x8
2 Th 0.000 0.000 0.000 x4
3 Tl 0.000 0.000 0.500 x4

Summary:
For the calculated density, the calculation gives 11.6 g/cm³. The calculation puts the volume at 451 Å³ per cell.

Version two
Density functional theory data (PBE-GGA) for Lu2ThTl after structural relaxation.

Cell: 3.564 3.564 8.919 Å, 90.00 90.00 90.00°
Space group P4/mmm (No. 123)
Asymmetric unit:
1 Lu 0.000 0.000 0.233 x2
2 Th 0.500 0.500 0.500 x1
3 Tl 0.500 0.500 0.000 x1

Summary:
For the calculated density, the calculation gives 11.5 g/cm³. The calculation puts the volume at 113 Å³ per cell.

version two takes first place; second place is 284 meV/atom up.